1.
Density functional theory data (PBE) for GdScTlSn after structural relaxation.

Values from the calculation:
The volume is 25.659 Å³/atom. The calculation puts the formation energy at -9.65 kcal/mol of atoms.

Lattice parameters (Å, degrees): 5.255 5.255 5.255 60.00 60.00 60.00
Sites, in units of the cell vectors:
Sc 0.250 0.250 0.250
Tl 0.000 0.000 0.000
Gd 0.750 0.750 0.750
Sn 0.500 0.500 0.500

=====

2.
Density functional theory data (PBE) for Cs4CdHg after structural relaxation.

Values from the calculation:
As for the relative energy among the computed polymorphs: 0.0000 eV/atom. The volume is 68.483 Å³/atom. The calculation puts the formation energy at -1.93 kcal/mol of atoms.

Lattice parameters (Å, degrees): 8.705 10.549 11.008 113.93 107.83 100.73
Sites, in units of the cell vectors:
Cs 0.011 0.240 0.876
Cs 0.791 0.696 0.641
Cs 0.365 0.636 0.876
Cs 0.350 0.945 0.641
Cs 0.650 0.055 0.359
Cs 0.635 0.364 0.124
Cs 0.209 0.304 0.359
Cs 0.989 0.760 0.124
Cd 0.386 0.636 0.272
Cd 0.614 0.364 0.728
Hg 0.249 0.999 0.998
Hg 0.751 0.001 0.002

=====

3.
Density functional theory data (PBE) for Bi3BS6 after structural relaxation.

Values from the calculation:
The volume is 23.747 Å³/atom. The calculation puts the uncorrected formation energy at -0.313 eV/atom.

Lattice parameters (Å, degrees): 6.436 8.694 8.694 102.48 90.00 90.00
Sites, in units of the cell vectors:
Bi 0.474 0.923 0.709
Bi 0.974 0.709 0.923
Bi 0.408 0.393 0.607
Bi 0.908 0.607 0.393
Bi 0.974 0.077 0.291
Bi 0.474 0.291 0.077
B 0.032 0.195 0.805
B 0.532 0.805 0.195
S 0.201 0.682 0.638
S 0.701 0.638 0.682
S 0.159 0.401 0.892
S 0.659 0.892 0.401
S 0.142 0.061 0.939
S 0.734 0.210 0.790
S 0.234 0.790 0.210
S 0.642 0.939 0.061
S 0.159 0.108 0.599
S 0.659 0.599 0.108
S 0.201 0.362 0.318
S 0.701 0.318 0.362

=====

4.
Density functional theory data (PBE) for Mg2CoCl after structural relaxation.

Values from the calculation:
As for the relative energy among the computed polymorphs: 0.5430 eV/atom. The volume is 18.550 Å³/atom. The calculation puts the uncorrected formation energy at 0.175 eV/atom.

Lattice parameters (Å, degrees): 5.167 5.167 5.167 132.22 132.22 69.89
Sites, in units of the cell vectors:
Cl 0.250 0.750 0.500
Co 0.750 0.250 0.500
Mg 0.000 0.000 0.000
Mg 0.500 0.500 0.000

=====

The records above give, respectively, final energy values of -7.11 -0.86 -4.62 -2.86 eV per atom.